# Gd2ScNbO7 GGA-PBEsol relaxed
data_Gd2ScNbO7
_cell_length_a 7.2717
_cell_length_b 7.4398
_cell_length_c 10.3847
_cell_angle_alpha 90.00
_cell_angle_beta 90.00
_cell_angle_gamma 90.00
_symmetry_space_group_name_H-M 'I m m a'
_symmetry_Int_Tables_number 74
_symmetry_space_group_name_Hall '-I 2b 2'
loop_
_atom_site_label
_atom_site_fract_x
_atom_site_fract_y
_atom_site_fract_z
Gd1 0.0000 0.0000 0.0000
Gd2 0.2500 0.2500 0.2500
Sc1 0.2500 0.2500 0.7500
Nb1 0.0000 0.0000 0.5000
O1 0.0000 0.2500 0.1282
O2 0.0000 0.2500 0.4276
O3 0.0000 0.2500 0.8483
O4 0.2032 0.0314 0.6257
# Spin magnetization   1.272 μB per atom
# Formation energy without anion corrections   -3266 meV/atom
# Total energy   -10.82 eV/atom



# KScCu2 GGA-PBEsol relaxed
data_KScCu2
_cell_length_a 4.8255
_cell_length_b 4.8367
_cell_length_c 6.8282
_cell_angle_alpha 90.00
_cell_angle_beta 90.00
_cell_angle_gamma 90.00
_symmetry_space_group_name_H-M 'I m m m'
_symmetry_Int_Tables_number 71
_symmetry_space_group_name_Hall '-I 2 2'
loop_
_atom_site_label
_atom_site_fract_x
_atom_site_fract_y
_atom_site_fract_z
K1 0.0000 0.0000 0.0000
Sc1 0.0000 0.0000 0.5000
Cu1 0.0000 0.5000 0.2491
# Energy above the most stable polymorph in this dataset   416.8 meV/atom
# Spin magnetization   0.000 μB per atom
# Total energy   -3.54 eV/atom



# LaNiSbPb2 GGA-PBEsol relaxed
data_LaNiSbPb2
_cell_length_a 5.6725
_cell_length_b 5.6725
_cell_length_c 5.9357
_cell_angle_alpha 90.00
_cell_angle_beta 90.00
_cell_angle_gamma 90.00
_symmetry_space_group_name_H-M 'P 4/m m m'
_symmetry_Int_Tables_number 123
_symmetry_space_group_name_Hall '-P 4 2'
loop_
_atom_site_label
_atom_site_fract_x
_atom_site_fract_y
_atom_site_fract_z
La1 0.0000 0.0000 0.0000
Ni1 0.5000 0.5000 0.0000
Sb1 0.0000 0.0000 0.5000
Pb1 0.0000 0.5000 0.5000
# Spin magnetization   0.142 μB per atom
# Formation energy without anion corrections   930 meV/atom
# Total energy   -3.88 eV/atom



# KCu3As2O10 GGA-PBEsol relaxed
data_KCu3As2O10
_cell_length_a 9.9593
_cell_length_b 5.7317
_cell_length_c 8.4337
_cell_angle_alpha 90.00
_cell_angle_beta 120.08
_cell_angle_gamma 90.00
_symmetry_space_group_name_H-M 'C 1 2/m 1'
_symmetry_Int_Tables_number 12
loop_
_symmetry_equiv_pos_as_xyz
'x,y,z'
'-x,-y,-z'
'-x,y,-z'
'x,-y,z'
'x+1/2,y+1/2,z'
'-x+1/2,-y+1/2,-z'
'-x+1/2,y+1/2,-z'
'x+1/2,-y+1/2,z'
loop_
_atom_site_label
_atom_site_fract_x
_atom_site_fract_y
_atom_site_fract_z
K1 0.0000 0.0000 0.0000
Cu1 0.0000 0.0000 0.5000
Cu2 0.2500 0.2500 0.5000
As1 0.0845 0.5000 0.7590
O1 0.0328 0.2465 0.3430
O2 0.1469 0.5000 0.9820
O3 0.2196 0.0000 0.6102
O4 0.2198 0.5000 0.6935
# Spin magnetization   0.106 μB per atom
# Formation energy without anion corrections   -861 meV/atom
# Total energy   -5.66 eV/atom